(1)
! Sr2LaCeS4, relaxed, DFT PBE-GGA; values from VASP
! Raw formation energy: -2.057 eV per atom
&SYSTEM
  ibrav = 0, nat = 8, ntyp = 4
/
ATOMIC_SPECIES
Ce 140.12 Ce.upf
Sr 87.62 Sr.upf
La 138.91 La.upf
S 32.06 S.upf
CELL_PARAMETERS angstrom
4.1594 0.0000 0.0000
0.0000 7.3305 -0.1891
0.0000 2.5376 6.7472
ATOMIC_POSITIONS crystal
Ce 0.5000 0.5000 0.0000
Sr 0.5000 0.0000 0.5000
Sr 0.0000 0.0000 0.0000
La 0.0000 0.5000 0.5000
S 0.0000 0.2585 0.2443
S 0.5000 0.7430 0.2491
S 0.5000 0.2570 0.7509
S 0.0000 0.7415 0.7557

***

(2)
! Pd2RhPb8, relaxed, DFT PBE-GGA; values from VASP
! ΔE_f: -0.009 eV per atom
! Offset from the most stable computed form: 0.066 eV/atom
&SYSTEM
  ibrav = 0, nat = 11, ntyp = 3
/
ATOMIC_SPECIES
Pb 207.20 Pb.upf
Pd 106.42 Pd.upf
Rh 102.91 Rh.upf
CELL_PARAMETERS angstrom
-4.0201 -1.7617 2.2018
4.8314 -10.6641 0.2889
1.7421 7.2455 3.5023
ATOMIC_POSITIONS crystal
Pb 0.1554 0.1544 0.3108
Pb 0.8446 0.8456 0.6892
Pb 0.6516 0.3711 0.3032
Pb 0.3484 0.6289 0.6968
Pb 0.3477 0.0674 0.6953
Pb 0.9993 0.6388 0.9985
Pb 0.6523 0.9326 0.3047
Pb 0.0007 0.3612 0.0015
Pd 0.7792 0.2794 0.5584
Pd 0.2208 0.7206 0.4416
Rh 0.5000 0.0000 0.0000

***

(3)
! LaZrTl2, relaxed, DFT PBE-GGA; values from VASP
! ΔE_f: 0.020 eV per atom
&SYSTEM
  ibrav = 0, nat = 4, ntyp = 3
/
ATOMIC_SPECIES
Tl 204.38 Tl.upf
Zr 91.22 Zr.upf
La 138.91 La.upf
CELL_PARAMETERS angstrom
-0.5666 -3.4475 -0.8306
1.0342 -1.4454 5.2935
-5.3444 0.5881 1.2047
ATOMIC_POSITIONS crystal
Tl 0.5000 0.5000 0.0000
Tl 0.0000 0.0000 0.0000
Zr 0.5000 0.0000 0.5000
La 0.0000 0.5000 0.5000

***

(4)
! TaTe2Se, relaxed, DFT PBE-GGA; values from VASP
! Raw formation energy: 0.031 eV per atom
&SYSTEM
  ibrav = 0, nat = 4, ntyp = 3
/
ATOMIC_SPECIES
Ta 180.95 Ta.upf
Te 127.60 Te.upf
Se 78.96 Se.upf
CELL_PARAMETERS angstrom
2.1322 0.0000 9.1750
-1.0661 1.8465 9.1750
-1.0661 -1.8465 9.1750
ATOMIC_POSITIONS crystal
Ta 0.5000 0.5000 0.5000
Te 0.1003 0.1003 0.1003
Te 0.8997 0.8997 0.8997
Se 0.0000 0.0000 0.0000

***

(5)
! NaSmZnIn, relaxed, DFT PBE-GGA; values from VASP
! ΔE_f: -0.197 eV per atom
&SYSTEM
  ibrav = 0, nat = 4, ntyp = 4
/
ATOMIC_SPECIES
Sm 150.36 Sm.upf
Na 22.99 Na.upf
Zn 65.41 Zn.upf
In 114.82 In.upf
CELL_PARAMETERS angstrom
5.2012 0.0000 0.0000
2.6006 4.5044 0.0000
2.6006 1.5015 4.2468
ATOMIC_POSITIONS crystal
Sm 0.7500 0.7500 0.7500
Na 0.2500 0.2500 0.2500
Zn 0.0000 0.0000 0.0000
In 0.5000 0.5000 0.5000

***

(6)
! MgCd2Hg2, relaxed, DFT PBE-GGA; values from VASP
! ΔE_f: -0.047 eV per atom
! Offset from the most stable computed form: 0.013 eV/atom
&SYSTEM
  ibrav = 0, nat = 10, ntyp = 3
/
ATOMIC_SPECIES
Mg 24.30 Mg.upf
Hg 200.59 Hg.upf
Cd 112.41 Cd.upf
CELL_PARAMETERS angstrom
5.5433 0.0000 0.0000
2.7717 5.7678 -0.6469
2.7717 -0.9493 7.3701
ATOMIC_POSITIONS crystal
Mg 0.5158 0.2233 0.7451
Mg 0.4842 0.7767 0.2549
Hg 0.6992 0.7462 0.8554
Hg 0.1057 0.2321 0.5566
Hg 0.8943 0.7679 0.4434
Hg 0.3008 0.2538 0.1446
Cd 0.3125 0.7293 0.6456
Cd 0.1089 0.7408 0.0413
Cd 0.6875 0.2707 0.3544
Cd 0.8911 0.2592 0.9587

***

(7)
! NaZn6Cd6, relaxed, DFT PBE-GGA; values from VASP
! ΔE_f: -0.010 eV per atom
&SYSTEM
  ibrav = 0, nat = 13, ntyp = 3
/
ATOMIC_SPECIES
Cd 112.41 Cd.upf
Zn 65.41 Zn.upf
Na 22.99 Na.upf
CELL_PARAMETERS angstrom
5.2511 0.0000 0.0000
2.6255 6.9241 -0.2035
2.6255 -0.0377 6.9270
ATOMIC_POSITIONS crystal
Cd 0.6809 0.8191 0.8191
Cd 0.3436 0.6564 0.6564
Cd 0.6564 0.3436 0.3436
Cd 0.0000 0.6541 0.3459
Cd 0.0000 0.3459 0.6541
Cd 0.3191 0.1809 0.1809
Zn 0.5000 0.2295 0.7705
Zn 0.5000 0.5000 0.0000
Zn 0.0000 0.5000 0.0000
Zn 0.0000 0.0000 0.5000
Zn 0.5000 0.0000 0.5000
Zn 0.5000 0.7705 0.2295
Na 0.0000 0.0000 0.0000

***

(8)
! NpGe4Pt2, relaxed, DFT PBE-GGA; values from VASP
! ΔE_f: -0.406 eV per atom
&SYSTEM
  ibrav = 0, nat = 28, ntyp = 3
/
ATOMIC_SPECIES
Pt 195.08 Pt.upf
Ge 72.64 Ge.upf
Np 237.00 Np.upf
CELL_PARAMETERS angstrom
-3.2728 1.3996 2.2746
-3.9546 -4.8766 -2.6895
4.5751 -11.1116 13.4203
ATOMIC_POSITIONS crystal
Pt 0.7500 0.0282 0.2053
Pt 0.7500 0.2506 0.9800
Pt 0.7500 0.4718 0.7053
Pt 0.2500 0.9718 0.7947
Pt 0.2500 0.5282 0.2947
Pt 0.7500 0.2494 0.4800
Pt 0.2500 0.7506 0.5200
Pt 0.2500 0.7494 0.0200
Ge 0.2500 0.1267 0.5424
Ge 0.2500 0.2425 0.1945
Ge 0.7500 0.7575 0.8055
Ge 0.7500 0.7425 0.3055
Ge 0.7500 0.3115 0.3184
Ge 0.2500 0.6885 0.6816
Ge 0.7500 0.9545 0.0641
Ge 0.2500 0.2575 0.6945
Ge 0.7500 0.8733 0.4576
Ge 0.7500 0.5455 0.5641
Ge 0.7500 0.1885 0.8184
Ge 0.7500 0.6267 0.9576
Ge 0.2500 0.4545 0.4359
Ge 0.2500 0.0455 0.9359
Ge 0.2500 0.8115 0.1816
Ge 0.2500 0.3733 0.0424
Np 0.2500 0.4722 0.8579
Np 0.7500 0.9722 0.6421
Np 0.2500 0.0278 0.3579
Np 0.7500 0.5278 0.1421